[1]
Here is TbPm2Ga2Cu2 after structural relaxation from the Alexandria database. Energies are from GGA-PBE.

Unit cell a=4.408 b=4.408 c=9.693 alpha=76.86 beta=76.86 gamma=60.00
Element x y z (fractional)
1 Pm 0.877 0.877 0.370
2 Pm 0.123 0.123 0.630
3 Cu 0.607 0.607 0.180
4 Cu 0.393 0.393 0.820
5 Ga 0.268 0.268 0.197
6 Ga 0.732 0.732 0.803
7 Tb 0.000 0.000 0.000

Summary:
The calculation puts the volume at 22.5 Å³/atom. The density of states at the Fermi level is 5.9 states/eV/f.u. The value obtained for the formation energy is -0.390 eV/atom. For the magnetization, the calculation gives 0.003 μB per cell.


[2]
Here is Tb2PmGa2Cu2 after structural relaxation from the Alexandria database. Energies are from GGA-PBE.

Unit cell a=4.420 b=4.420 c=9.557 alpha=76.63 beta=76.63 gamma=60.00
Element x y z (fractional)
1 Tb 0.125 0.125 0.626
2 Tb 0.875 0.875 0.374
3 Ga 0.261 0.261 0.216
4 Ga 0.739 0.739 0.784
5 Cu 0.402 0.402 0.795
6 Cu 0.598 0.598 0.205
7 Pm 0.000 0.000 0.000

Summary:
The calculation puts the volume at 22.3 Å³/atom. The density of states at the Fermi level is 5.0 states/eV/f.u. The value obtained for the formation energy is -0.389 eV/atom. For the magnetization, the calculation gives 0.000 μB per cell.


[3]
Here is TbPmGa2Cu2 after structural relaxation from the Alexandria database. Energies are from GGA-PBE.

Unit cell a=4.381 b=4.381 c=7.311 alpha=90.00 beta=90.00 gamma=120.00
Element x y z (fractional)
1 Cu 0.333 0.667 0.733
2 Cu 0.667 0.333 0.267
3 Tb 0.000 0.000 0.500
4 Ga 0.667 0.333 0.738
5 Ga 0.333 0.667 0.262
6 Pm 0.000 0.000 0.000

Summary:
The calculation puts the volume at 20.3 Å³/atom. The density of states at the Fermi level is 5.9 states/eV/f.u. The value obtained for the formation energy is -0.478 eV/atom. For the magnetization, the calculation gives 0.000 μB per cell.


[4]
Here is Tb2Pm2Ga4Cu after structural relaxation from the Alexandria database. Energies are from GGA-PBE.

Unit cell a=6.585 b=6.585 c=6.585 alpha=97.99 beta=115.50 gamma=115.50
Each line ends with the local moment (μB).
Element x y z (fractional)
1 Pm 0.000 0.689 0.689  0.06
2 Pm 0.000 0.311 0.311  0.06
3 Ga 0.000 0.237 0.763  0.00
4 Ga 0.474 0.237 0.237  0.00
5 Ga 0.526 0.763 0.763  0.00
6 Ga 0.000 0.763 0.237  0.00
7 Tb 0.500 0.750 0.250  0.03
8 Tb 0.500 0.250 0.750  0.03
9 Cu 0.000 0.000 0.000  0.01

Summary:
The calculation puts the volume at 23.7 Å³/atom. The density of states at the Fermi level is 7.9 states/eV/f.u. The value obtained for the formation energy is -0.321 eV/atom. For the magnetization, the calculation gives 0.292 μB per cell.


[5]
Here is PmThGaCu after structural relaxation from the Alexandria database. Energies are from GGA-PBE.

Unit cell a=5.142 b=5.142 c=5.142 alpha=60.00 beta=60.00 gamma=60.00
Element x y z (fractional)
1 Th 0.000 0.000 0.000
2 Ga 0.750 0.750 0.750
3 Pm 0.500 0.500 0.500
4 Cu 0.250 0.250 0.250

Summary:
The calculation puts the volume at 24.0 Å³/atom. The density of states at the Fermi level is 4.6 states/eV/f.u. The value obtained for the formation energy is -0.273 eV/atom. For the magnetization, the calculation gives 0.001 μB per cell.


[6]
Here is Pm2ThGa2Cu2 after structural relaxation from the Alexandria database. Energies are from GGA-PBE.

Unit cell a=4.428 b=4.428 c=9.799 alpha=76.94 beta=76.94 gamma=60.00
Element x y z (fractional)
1 Th 0.000 0.000 0.000
2 Pm 0.125 0.125 0.625
3 Pm 0.875 0.875 0.375
4 Ga 0.735 0.735 0.795
5 Ga 0.265 0.265 0.205
6 Cu 0.603 0.603 0.191
7 Cu 0.397 0.397 0.809

Summary:
The calculation puts the volume at 22.9 Å³/atom. The density of states at the Fermi level is 5.5 states/eV/f.u. The value obtained for the formation energy is -0.357 eV/atom. For the magnetization, the calculation gives 0.000 μB per cell.


[7]
Here is PmTm2Ga2Cu2 after structural relaxation from the Alexandria database. Energies are from GGA-PBE.

Unit cell a=4.400 b=4.400 c=9.400 alpha=76.46 beta=76.46 gamma=60.00
Element x y z (fractional)
1 Tm 0.874 0.874 0.377
2 Tm 0.126 0.126 0.623
3 Ga 0.741 0.741 0.776
4 Ga 0.259 0.259 0.224
5 Cu 0.595 0.595 0.215
6 Cu 0.405 0.405 0.785
7 Pm 0.000 0.000 0.000

Summary:
The calculation puts the volume at 21.7 Å³/atom. The density of states at the Fermi level is 4.4 states/eV/f.u. The value obtained for the formation energy is -0.391 eV/atom. For the magnetization, the calculation gives 0.000 μB per cell.


[8]
Here is PmTmGaCu after structural relaxation from the Alexandria database. Energies are from GGA-PBE.

Unit cell a=5.038 b=5.038 c=5.038 alpha=60.00 beta=60.00 gamma=60.00
Element x y z (fractional)
1 Cu 0.250 0.250 0.250
2 Pm 0.000 0.000 0.000
3 Ga 0.750 0.750 0.750
4 Tm 0.500 0.500 0.500

Summary:
The calculation puts the volume at 22.6 Å³/atom. The density of states at the Fermi level is 3.4 states/eV/f.u. The value obtained for the formation energy is -0.388 eV/atom. For the magnetization, the calculation gives 0.000 μB per cell. The calculation puts the energy above the most stable polymorph in this dataset at 0.0 meV/atom.


[9]
Here is Pm2TmGa2Cu2 after structural relaxation from the Alexandria database. Energies are from GGA-PBE.

Unit cell a=4.377 b=4.377 c=9.691 alpha=76.95 beta=76.95 gamma=60.00
Element x y z (fractional)
1 Ga 0.730 0.730 0.811
2 Ga 0.270 0.270 0.189
3 Cu 0.390 0.390 0.831
4 Cu 0.610 0.610 0.169
5 Pm 0.122 0.122 0.633
6 Pm 0.878 0.878 0.367
7 Tm 0.000 0.000 0.000

Summary:
The calculation puts the volume at 22.2 Å³/atom. The density of states at the Fermi level is 5.5 states/eV/f.u. The value obtained for the formation energy is -0.393 eV/atom. For the magnetization, the calculation gives 0.238 μB per cell.


[10]
Here is PmTmGaCu after structural relaxation from the Alexandria database. Energies are from GGA-PBE.

Unit cell a=3.705 b=4.428 c=5.915 alpha=90.00 beta=108.25 gamma=90.00
Element x y z (fractional)
1 Cu 0.428 0.000 0.855
2 Pm 0.151 0.000 0.301
3 Tm 0.856 0.500 0.713
4 Ga 0.565 0.500 0.131

Summary:
The calculation puts the volume at 23.0 Å³/atom. The density of states at the Fermi level is 3.6 states/eV/f.u. The value obtained for the formation energy is -0.381 eV/atom. For the magnetization, the calculation gives 0.000 μB per cell. The calculation puts the energy above the most stable polymorph in this dataset at 7.2 meV/atom.


[11]
Here is PmZn4GaCu2 after structural relaxation from the Alexandria database. Energies are from GGA-PBE.

Unit cell a=4.231 b=4.231 c=9.256 alpha=76.79 beta=76.79 gamma=60.00
Element x y z (fractional)
1 Ga 0.500 0.500 0.500
2 Zn 0.878 0.878 0.366
3 Zn 0.402 0.402 0.795
4 Zn 0.122 0.122 0.634
5 Zn 0.598 0.598 0.205
6 Cu 0.755 0.755 0.734
7 Cu 0.245 0.245 0.266
8 Pm 0.000 0.000 0.000

Summary:
The calculation puts the volume at 17.3 Å³/atom. The density of states at the Fermi level is 3.6 states/eV/f.u. The value obtained for the formation energy is -0.143 eV/atom. For the magnetization, the calculation gives 0.000 μB per cell.


Please write out number 6 again, unchanged.
Here is Pm2ThGa2Cu2 after structural relaxation from the Alexandria database. Energies are from GGA-PBE.

Unit cell a=4.428 b=4.428 c=9.799 alpha=76.94 beta=76.94 gamma=60.00
Element x y z (fractional)
1 Th 0.000 0.000 0.000
2 Pm 0.125 0.125 0.625
3 Pm 0.875 0.875 0.375
4 Ga 0.735 0.735 0.795
5 Ga 0.265 0.265 0.205
6 Cu 0.603 0.603 0.191
7 Cu 0.397 0.397 0.809

Summary:
The calculation puts the volume at 22.9 Å³/atom. The density of states at the Fermi level is 5.5 states/eV/f.u. The value obtained for the formation energy is -0.357 eV/atom. For the magnetization, the calculation gives 0.000 μB per cell.